Entry 1:
Compound: Al2GaAu3
Source: Alexandria via LeMat-Bulk
Functional: PBE-GGA
Structure: optimized geometry Values from VASP.

Cell and atoms, written as Quantum ESPRESSO input:
```
&SYSTEM
  ibrav = 0, nat = 12, ntyp = 3
/
ATOMIC_SPECIES
Au 196.97 Au.upf
Ga 69.72 Ga.upf
Al 26.98 Al.upf
CELL_PARAMETERS angstrom
-0.262 -3.261 -1.118
-0.446 -2.038 6.050
-9.476 1.481 -2.100
ATOMIC_POSITIONS crystal
Au 0.750 0.793 0.326
Au 0.250 0.180 0.983
Au 0.750 0.588 0.655
Au 0.250 0.412 0.345
Au 0.250 0.207 0.674
Au 0.750 0.820 0.017
Ga 0.250 0.543 0.881
Ga 0.750 0.457 0.119
Al 0.250 0.812 0.536
Al 0.750 0.980 0.786
Al 0.750 0.188 0.464
Al 0.250 0.020 0.214
```

Calculated values
- theoretical density (g/cm³) = 11.11
- symmetry = No. 11
- formation energy from the elements (eV/f.u.) = -2.04
- V (A^3/atom) = 17.80

***

Entry 2:
Compound: Al2GaAu
Source: Alexandria via LeMat-Bulk
Functional: PBE-GGA
Structure: optimized geometry Values from VASP.

Cell and atoms, written as Quantum ESPRESSO input:
```
&SYSTEM
  ibrav = 0, nat = 4, ntyp = 3
/
ATOMIC_SPECIES
Al 26.98 Al.upf
Ga 69.72 Ga.upf
Au 196.97 Au.upf
CELL_PARAMETERS angstrom
3.817 0.000 0.000
0.000 4.249 0.000
0.000 0.000 4.249
ATOMIC_POSITIONS crystal
Al 0.000 0.000 0.500
Al 0.000 0.500 0.000
Ga 0.500 0.500 0.500
Au 0.500 0.000 0.000
```

Calculated values
- theoretical density (g/cm³) = 7.73
- symmetry = No. 123
- formation energy from the elements (eV/f.u.) = -0.30
- V (A^3/atom) = 17.23

***

Entry 3:
Compound: AlGaAu3
Source: Alexandria via LeMat-Bulk
Functional: PBE-GGA
Structure: optimized geometry Values from VASP.

Cell and atoms, written as Quantum ESPRESSO input:
```
&SYSTEM
  ibrav = 0, nat = 10, ntyp = 3
/
ATOMIC_SPECIES
Au 196.97 Au.upf
Ga 69.72 Ga.upf
Al 26.98 Al.upf
CELL_PARAMETERS angstrom
3.445 0.000 0.000
0.000 7.246 0.000
0.000 0.000 7.462
ATOMIC_POSITIONS crystal
Au 0.250 0.053 0.198
Au 0.750 0.947 0.802
Au 0.750 0.553 0.802
Au 0.250 0.250 0.706
Au 0.250 0.447 0.198
Au 0.750 0.750 0.294
Ga 0.750 0.250 0.432
Ga 0.250 0.750 0.568
Al 0.750 0.250 0.999
Al 0.250 0.750 0.001
```

Calculated values
- theoretical density (g/cm³) = 12.26
- symmetry = No. 59
- energy above the most stable polymorph in this dataset (meV per atom) = 58
- formation energy from the elements (eV/f.u.) = -0.90
- V (A^3/atom) = 18.63